{
  "formula": "ScCuGeSe3",
  "functional": "PBE",
  "state": "relaxed",
  "lattice": [[-5.3129, -2.6678, 3.2485], [-2.4192, -5.0993, 3.7472], [2.6733, 4.9041, 8.3998]],
  "species": ["Cu", "Cu", "Ge", "Ge", "Sc", "Sc", "Se", "Se", "Se", "Se", "Se", "Se"],
  "frac_coords": [[0.4712, 0.4712, 0.2500], [0.5288, 0.5288, 0.7500], [0.7756, 0.7756, 0.2500], [0.2244, 0.2244, 0.7500], [0.0000, 0.0000, 0.0000], [0.0000, 0.0000, 0.5000], [0.3559, 0.3559, 0.0614], [0.0904, 0.0904, 0.2500], [0.3559, 0.3559, 0.4386], [0.6441, 0.6441, 0.5614], [0.9096, 0.9096, 0.7500], [0.6441, 0.6441, 0.9386]],
  "sg": "Cmcm (63)",
  "e_above_lowest_polymorph_ev_per_atom": 0.0000,
  "energy_ev_per_atom": -4.9383,
  "rho_g_cm3": 5.55,
  "magmom_total_mub_per_cell": 0.0
}